1.
Cs2Hg6Bi | PBE-GGA | optimized geometry

a b c (Å): 7.788 7.788 7.788
angles (deg): 60.00 60.00 60.00
Positions (direct):
Cs 0.250 0.250 0.250
Cs 0.750 0.750 0.750
Hg 0.210 0.210 0.790
Hg 0.210 0.790 0.210
Hg 0.210 0.790 0.790
Hg 0.790 0.210 0.210
Hg 0.790 0.210 0.790
Hg 0.790 0.790 0.210
Bi 0.500 0.500 0.500

Properties
Electronic total energy   -1.00 eV/atom
SG   Fm-3m

=====

2.
Sm8Ge3SeI4 | PBE-GGA | optimized geometry

a b c (Å): 9.046 9.046 9.046
angles (deg): 56.78 56.78 56.78
Positions (direct):
Sm 0.226 0.735 0.735
Sm 0.232 0.232 0.232
Sm 0.265 0.265 0.774
Sm 0.265 0.774 0.265
Sm 0.735 0.226 0.735
Sm 0.735 0.735 0.226
Sm 0.768 0.768 0.768
Sm 0.774 0.265 0.265
Ge 0.000 0.000 0.500
Ge 0.000 0.500 0.000
Ge 0.500 0.000 0.000
Se 0.500 0.500 0.500
I 0.000 0.000 0.000
I 0.000 0.500 0.500
I 0.500 0.000 0.500
I 0.500 0.500 0.000

Properties
Electronic total energy   -4.93 eV/atom
SG   R-3m

=====

3.
SrY2O4 | PBE-GGA | optimized geometry

a b c (Å): 5.878 5.878 11.194
angles (deg): 90.00 90.00 146.43
Positions (direct):
Sr 0.112 0.888 0.750
Sr 0.888 0.112 0.250
Y 0.367 0.633 0.573
Y 0.367 0.633 0.927
Y 0.633 0.367 0.073
Y 0.633 0.367 0.427
O 0.000 0.000 0.000
O 0.000 0.000 0.500
O 0.264 0.736 0.109
O 0.264 0.736 0.391
O 0.455 0.545 0.750
O 0.545 0.455 0.250
O 0.736 0.264 0.609
O 0.736 0.264 0.891

Properties
Electronic total energy   -8.21 eV/atom
SG   Cmcm

=====

4.
TcRh2I2 | PBE-GGA | optimized geometry

a b c (Å): 5.506 5.506 5.506
angles (deg): 122.01 122.01 86.55
Positions (direct):
Tc 0.000 0.000 0.000
Rh 0.328 0.328 0.000
Rh 0.672 0.672 0.000
I 0.250 0.750 0.500
I 0.750 0.250 0.500

Properties
Electronic total energy   -4.68 eV/atom
SG   I4/mmm

=====

5.
Cs2PaCl2F4 | PBE-GGA | optimized geometry

a b c (Å): 7.617 7.617 5.597
angles (deg): 93.88 93.88 53.15
Positions (direct):
Cs 0.144 0.144 0.144
Cs 0.856 0.856 0.856
Pa 0.500 0.500 0.500
Cl 0.315 0.315 0.673
Cl 0.685 0.685 0.327
F 0.220 0.688 0.254
F 0.312 0.780 0.746
F 0.688 0.220 0.254
F 0.780 0.312 0.746

Properties
Electronic total energy   -5.47 eV/atom
SG   C2/m

=====

6.
MnNiGe | PBE-GGA | optimized geometry

a b c (Å): 4.028 4.028 2.800
angles (deg): 90.00 90.00 120.00
Positions (direct):
Mn 0.000 0.000 0.000
Ni 0.333 0.667 0.500
Ge 0.667 0.333 0.500

Properties
Electronic total energy   -6.70 eV/atom
SG   P-6m2

=====

7.
CdHg3Au | PBE-GGA | optimized geometry

a b c (Å): 5.524 5.524 5.524
angles (deg): 90.00 90.00 90.00
Positions (direct):
Cd 0.000 0.000 0.000
Hg 0.000 0.000 0.500
Hg 0.000 0.500 0.000
Hg 0.500 0.000 0.000
Au 0.500 0.500 0.500

Properties
Electronic total energy   -0.63 eV/atom
SG   Pm-3m

=====

8.
MgNbTe | PBE-GGA | optimized geometry

a b c (Å): 13.388 3.484 3.484
angles (deg): 59.97 90.00 90.00
Positions (direct):
Mg 0.166 0.000 0.000
Mg 0.834 0.000 0.000
Nb 0.000 0.667 0.667
Nb 0.500 0.888 0.888
Te 0.357 0.557 0.557
Te 0.643 0.557 0.557

Properties
Electronic total energy   -4.91 eV/atom
SG   Amm2

=====

9.
PuNp2O6 | PBE-GGA | optimized geometry

a b c (Å): 6.598 6.598 6.598
angles (deg): 146.40 131.76 60.07
Positions (direct):
Pu 0.000 0.000 0.000
Np 0.334 0.334 0.000
Np 0.666 0.666 0.000
O 0.084 0.831 0.252
O 0.255 0.500 0.755
O 0.421 0.169 0.252
O 0.579 0.831 0.748
O 0.745 0.500 0.245
O 0.916 0.169 0.748

Properties
Electronic total energy   -10.92 eV/atom
SG   Immm

=====

10.
CsCdSb | PBE-GGA | optimized geometry

a b c (Å): 6.685 6.685 10.493
angles (deg): 90.00 90.00 120.00
Positions (direct):
Cs 0.333 0.667 0.250
Cs 0.667 0.333 0.750
Cd 0.000 0.000 0.250
Cd 0.000 0.000 0.750
Sb 0.000 0.000 0.000
Sb 0.000 0.000 0.500

Properties
Electronic total energy   -1.90 eV/atom
SG   P6_3/mmc

=====

11.
CsHo6S8 | PBE-GGA | optimized geometry

a b c (Å): 7.745 7.745 7.745
angles (deg): 92.22 92.22 92.22
Positions (direct):
Cs 0.000 0.000 0.000
Ho 0.196 0.572 0.384
Ho 0.384 0.196 0.572
Ho 0.428 0.616 0.804
Ho 0.572 0.384 0.196
Ho 0.616 0.804 0.428
Ho 0.804 0.428 0.616
S 0.142 0.411 0.694
S 0.260 0.260 0.260
S 0.306 0.858 0.589
S 0.411 0.694 0.142
S 0.589 0.306 0.858
S 0.694 0.142 0.411
S 0.740 0.740 0.740
S 0.858 0.589 0.306

Properties
Electronic total energy   -5.92 eV/atom
SG   R-3

=====

12.
P3HS | PBE-GGA | optimized geometry

a b c (Å): 4.551 4.551 4.551
angles (deg): 90.00 90.00 90.00
Positions (direct):
P 0.000 0.000 0.500
P 0.000 0.500 0.000
P 0.500 0.000 0.000
H 0.500 0.500 0.500
S 0.000 0.000 0.000

Properties
Electronic total energy   -3.20 eV/atom
SG   Pm-3m

=====

13.
DyZr2Pd9 | PBE-GGA | optimized geometry

a b c (Å): 4.060 4.060 12.196
angles (deg): 90.00 90.00 90.00
Positions (direct):
Dy 0.000 0.000 0.000
Zr 0.000 0.000 0.333
Zr 0.000 0.000 0.667
Pd 0.000 0.500 0.174
Pd 0.000 0.500 0.500
Pd 0.000 0.500 0.826
Pd 0.500 0.000 0.174
Pd 0.500 0.000 0.500
Pd 0.500 0.000 0.826
Pd 0.500 0.500 0.000
Pd 0.500 0.500 0.337
Pd 0.500 0.500 0.663

Properties
Electronic total energy   -6.56 eV/atom
SG   P4/mmm

=====

14.
Rb2WIN | PBE-GGA | optimized geometry

a b c (Å): 7.060 7.060 5.490
angles (deg): 90.00 90.00 90.00
Positions (direct):
Rb 0.000 0.500 0.000
Rb 0.500 0.000 0.000
W 0.000 0.000 0.000
I 0.000 0.000 0.500
N 0.500 0.500 0.500

Properties
Electronic total energy   -3.28 eV/atom
SG   P4/mmm